Density functional theory data (PBE) for a relaxed BiPdRhPb crystal.

Cell: 4.8874 4.8874 4.8874 Å, 60.00 60.00 60.00°
Fractional coordinates of all 4 atoms:
Pb 0.7500 0.7500 0.7500
Rh 0.0000 0.0000 0.0000
Bi 0.2500 0.2500 0.2500
Pd 0.5000 0.5000 0.5000

## Properties
ρ: 12.6 Mg/m³
E: -5.066 eV per atom
symmetry: F-43m (216)
N(E_F): 2.3 states/eV/cell